<P>
A plane-wave DFT calculation with PBE-GGA was carried out for an optimized crystal structure of CsMoW3.

Lattice parameters (Å, degrees): 4.8362 4.8362 4.8362 90.00 90.00 90.00
Fractional positions:
W1 0.5000 0.0000 0.0000
W2 0.0000 0.5000 0.0000
W3 0.0000 0.0000 0.5000
Mo1 0.5000 0.5000 0.5000
Cs1 0.0000 0.0000 0.0000

Calculated values
DOS(E_F) = 1.501 states/eV/atom
SG = Pm-3m, No. 221
Total moment = 0.1 μB/f.u.

<Q>
A plane-wave DFT calculation with PBE-GGA was carried out for an optimized crystal structure of CsMoW3.

Lattice parameters (Å, degrees): 4.9532 4.9532 4.9532 90.00 90.00 90.00
Fractional positions:
W1 0.0000 0.5000 0.0000
W2 0.5000 0.0000 0.0000
W3 0.0000 0.0000 0.5000
Mo1 0.0000 0.0000 0.0000
Cs1 0.5000 0.5000 0.5000

Calculated values
DOS(E_F) = 2.813 states/eV/atom
SG = Pm-3m, No. 221
Total moment = 0.0 μB/f.u.

Among the structures above, stability is smallest for <P>.